Entry 1:
An optimized crystal structure of PmMg6, computed with PBE-GGA.

Calculated values
Space-group type: Pnma
Energy of formation (eV/atom): -0.025

a b c (Å): 5.9319 9.6118 12.2129
angles (deg): 90.00 90.00 90.00
With the nearest neighbours (Å) after each atom.
Positions (direct):
Mg (0.4900, 0.4378, 0.1936)  8 Mg 2.85-3.12
Mg (0.2500, 0.5537, 0.5846)  5 Mg 2.99-3.17
Mg (0.2500, 0.8063, 0.7512)  7 Mg 2.89-3.17
Mg (0.7500, 0.9463, 0.0846)  5 Mg 2.99-3.17
Mg (0.2500, 0.9074, 0.5181)  6 Mg 2.97-3.25
Mg (0.2500, 0.6448, 0.3505)  8 Mg 2.99-3.25
Mg (0.7500, 0.4463, 0.4154)  5 Mg 2.99-3.17
Mg (0.7500, 0.6937, 0.2512)  7 Mg 2.89-3.17
Mg (0.5100, 0.5622, 0.8064)  8 Mg 2.85-3.12
Mg (0.2500, 0.4074, 0.9819)  6 Mg 2.97-3.25
Mg (0.2500, 0.1448, 0.1495)  8 Mg 2.99-3.25
Mg (0.7500, 0.1937, 0.2488)  7 Mg 2.89-3.17
Mg (0.5100, 0.0622, 0.6936)  8 Mg 2.85-3.12
Mg (0.0100, 0.4378, 0.1936)  8 Mg 2.85-3.12
Mg (0.7500, 0.3552, 0.6495)  8 Mg 2.99-3.25
Mg (0.7500, 0.8552, 0.8505)  8 Mg 2.99-3.25
Mg (0.7500, 0.0926, 0.4819)  6 Mg 2.97-3.25
Mg (0.9900, 0.0622, 0.6936)  8 Mg 2.85-3.12
Mg (0.2500, 0.0537, 0.9154)  5 Mg 2.99-3.17
Mg (0.9900, 0.5622, 0.8064)  8 Mg 2.85-3.12
Mg (0.0100, 0.9378, 0.3064)  8 Mg 2.85-3.12
Mg (0.4900, 0.9378, 0.3064)  8 Mg 2.85-3.12
Mg (0.7500, 0.5926, 0.0181)  6 Mg 2.97-3.25
Mg (0.2500, 0.3063, 0.7488)  7 Mg 2.89-3.17
Pm (0.7500, 0.2455, 0.9378)  11 Mg 3.39-3.75
Pm (0.7500, 0.7455, 0.5622)  11 Mg 3.39-3.75
Pm (0.2500, 0.2545, 0.4378)  11 Mg 3.39-3.75
Pm (0.2500, 0.7545, 0.0622)  11 Mg 3.39-3.75

Entry 2:
An optimized crystal structure of PmMg2, computed with PBE-GGA.

Calculated values
Space-group type: P6/mmm
Energy of formation (eV/atom): -0.096

a b c (Å): 5.2842 5.2842 6.7370
angles (deg): 89.96 89.96 59.99
With the nearest neighbours (Å) after each atom.
Positions (direct):
Pm (0.0000, 0.0000, 0.7500)  2 Pm 3.37, 12 Mg 3.48-3.49
Pm (0.0000, 0.0000, 0.2500)  2 Pm 3.37, 12 Mg 3.48-3.49
Mg (0.6667, 0.6667, 0.0004)  5 Mg 3.05-3.37
Mg (0.3333, 0.3333, 0.4996)  5 Mg 3.05-3.37
Mg (0.3333, 0.3333, 0.9996)  5 Mg 3.05-3.37
Mg (0.6667, 0.6667, 0.5004)  5 Mg 3.05-3.37